Material: LiMnS
Method: DFT, PBE
State: relaxed

It has space group Fddd (No. 70, origin choice 2), with a = 7.991 Å, b = 8.112 Å, c = 11.371 Å, α = 90.00°, β = 90.00° and γ = 90.00°. The distinct sites, in fractional coordinates, are Li at (0.125, 0.125, 0.001), Mn at (0.125, 0.125, 0.499) and S at (0.125, 0.374, 0.125).

For the total magnetization, the calculation gives 4.013 μB/f.u. As for the energy relative to the elements, uncorrected: -0.5434 eV per atom. The value obtained for the density of states at the Fermi level is 1.21 states/eV/f.u. The crystal system is orthorhombic.